Record 1
12
Lattice="-1.220 -3.572 5.338 5.090 -3.086 -2.115 0.117 5.733 2.649" Properties=species:S:1:pos:R:3 comment="SiGe2Pt3 | the Alexandria database | PBE-GGA | optimized geometry" mass_density_g_cm3=12.5 raw_formation_energy_mev_per_atom=-328 sg="C2/c (15)" volume_a3_per_atom=16.83 pbc="T T T"
Si 1.216 -0.517 4.723
Si 2.771 -0.407 1.149
Pt 2.800 -2.423 5.050
Pt 1.469 -1.869 2.637
Pt 2.545 -1.543 -1.058
Pt 1.187 1.498 0.822
Pt -0.551 1.081 3.994
Pt 2.518 0.945 3.235
Ge -0.468 2.470 6.337
Ge 4.455 -3.394 -0.465
Ge 0.831 3.034 3.008
Ge 3.156 -3.958 2.864



Record 2
5
Lattice="-0.062 2.948 -3.614 2.381 -3.088 -2.559 -4.010 -1.878 -1.464" Properties=species:S:1:pos:R:3 comment="SiGe3Pt | the Alexandria database | PBE-GGA | optimized geometry" relative_energy_mev_per_atom=152 mass_density_g_cm3=7.2 raw_formation_energy_mev_per_atom=728 sg="Pm-3m (221)" volume_a3_per_atom=20.29 pbc="T T T"
Ge -2.005 -0.939 -0.732
Ge -0.031 1.474 -1.807
Ge 1.190 -1.544 -1.280
Pt -0.845 -1.009 -3.819
Si 0.000 0.000 0.000



Record 3
8
Lattice="5.755 0.000 0.000 0.000 5.755 0.000 2.878 2.878 5.350" Properties=species:S:1:pos:R:3 comment="SiGe2Pt | the Alexandria database | PBE-GGA | optimized geometry" mass_density_g_cm3=6.9 raw_formation_energy_mev_per_atom=34 sg="I-42d (122)" volume_a3_per_atom=22.15 pbc="T T T"
Ge 7.194 7.189 4.012
Ge 4.316 4.321 4.012
Ge 1.444 4.316 1.337
Ge 4.312 1.439 1.337
Pt 0.000 0.000 0.000
Pt 5.755 2.878 2.675
Si 2.878 5.755 2.675
Si 2.878 2.878 0.000



Record 4
12
Lattice="5.626 0.000 0.133 0.000 5.627 0.000 -0.146 0.000 6.238" Properties=species:S:1:pos:R:3 comment="SiGePt4 | the Alexandria database | PBE-GGA | optimized geometry" mass_density_g_cm3=14.8 raw_formation_energy_mev_per_atom=-583 sg="P4/mmm (123)" volume_a3_per_atom=16.47 pbc="T T T"
Pt 4.111 1.407 4.707
Pt 1.368 1.407 1.664
Pt 4.181 4.221 1.730
Pt 1.298 4.220 4.640
Pt 4.181 1.407 1.730
Pt 1.298 1.407 4.640
Pt 1.369 4.221 1.664
Pt 4.111 4.221 4.707
Si 2.740 0.000 3.185
Si -0.073 2.814 3.119
Ge 2.813 2.814 0.066
Ge 0.000 0.000 0.000



Record 5
8
Lattice="-2.722 -4.881 -0.460 4.293 -2.627 2.473 -1.474 -2.944 5.789" Properties=species:S:1:pos:R:3 comment="Si2GePt | the Alexandria database | PBE-GGA | optimized geometry" mass_density_g_cm3=6.4 raw_formation_energy_mev_per_atom=-87 sg="I-42d (122)" volume_a3_per_atom=21.03 pbc="T T T"
Pt -1.705 -5.789 3.168
Pt 0.000 0.000 0.000
Si 2.013 -2.918 2.942
Si -1.572 -4.185 1.462
Si 0.330 -8.815 6.138
Si -0.578 -4.986 5.061
Ge 0.785 -3.754 1.006
Ge 1.802 -4.662 4.634



Record 6
10
Lattice="7.540 0.000 0.000 0.000 7.540 0.000 0.000 0.000 2.787" Properties=species:S:1:pos:R:3 comment="Si2GePt2 | the Alexandria database | PBE-GGA | optimized geometry" relative_energy_mev_per_atom=268 mass_density_g_cm3=10.9 raw_formation_energy_mev_per_atom=-191 sg="P4/mbm (127)" volume_a3_per_atom=15.85 pbc="T T T"
Si 2.594 1.176 1.394
Si 4.946 6.364 1.394
Si 1.176 4.946 1.394
Si 6.364 2.594 1.394
Ge 0.000 0.000 0.000
Ge 3.770 3.770 0.000
Pt 2.725 6.495 0.000
Pt 1.045 2.725 0.000
Pt 6.495 4.815 0.000
Pt 4.815 1.045 0.000



Record 7
5
Lattice="4.868 0.000 0.000 0.000 4.868 0.000 0.000 0.000 4.868" Properties=species:S:1:pos:R:3 comment="SiGe3Pt | the Alexandria database | PBE-GGA | optimized geometry" relative_energy_mev_per_atom=0 mass_density_g_cm3=6.3 raw_formation_energy_mev_per_atom=576 sg="Pm-3m (221)" volume_a3_per_atom=23.07 pbc="T T T"
Pt 0.000 0.000 0.000
Ge 0.000 2.434 0.000
Ge 2.434 0.000 0.000
Ge 0.000 0.000 2.434
Si 2.434 2.434 2.434



Record 8
20
Lattice="-2.893 -4.567 -1.324 2.214 0.898 -7.934 6.968 -4.820 1.399" Properties=species:S:1:pos:R:3 comment="Sm2SiGePt6 | the Alexandria database | PBE-GGA | optimized geometry" mass_density_g_cm3=13.2 raw_formation_energy_mev_per_atom=-930 sg="Pmmn (59)" volume_a3_per_atom=19.80 pbc="T T T"
Ge 5.104 -1.753 -5.106
Ge -0.852 -2.042 -2.791
Pt 0.420 -0.674 -4.412
Pt -1.034 -2.969 -5.078
Pt 2.393 -5.393 -4.143
Pt 3.832 -3.121 -3.484
Pt 3.697 -0.410 -6.662
Pt 2.768 -3.547 0.350
Pt 4.036 -5.793 -0.536
Pt 7.184 -2.822 -5.962
Pt 1.484 -0.248 -8.246
Pt 0.555 -3.385 -1.234
Pt 1.318 -5.835 -0.314
Pt 0.040 -2.527 -8.907
Sm 2.332 -0.958 -1.788
Sm 1.920 -2.837 -6.108
Sm 5.829 -3.377 -1.086
Sm 5.391 -5.237 -5.412
Si 2.596 -4.467 -1.964
Si 1.655 0.672 -5.932



Record 9
10
Lattice="-1.922 1.521 3.537 -2.312 -3.618 0.299 6.975 -4.001 5.512" Properties=species:S:1:pos:R:3 comment="Sm2Si4GePt3 | the Alexandria database | PBE-GGA | optimized geometry" mass_density_g_cm3=9.8 raw_formation_energy_mev_per_atom=-945 sg="P-4m2 (115)" volume_a3_per_atom=18.06 pbc="T T T"
Si -2.117 -1.048 1.918
Si 3.478 -1.786 5.276
Si 0.000 0.000 0.000
Si 1.381 -3.264 2.154
Sm 4.104 -4.826 4.306
Sm 0.754 -0.223 3.124
Pt 3.488 -2.001 2.756
Pt -0.324 -2.286 0.807
Pt 5.182 -2.763 6.623
Ge 1.371 -3.049 4.674



Record 10
15
Lattice="6.600 0.000 0.000 -3.300 5.715 0.000 0.000 0.000 8.437" Properties=species:S:1:pos:R:3 comment="Sm3SiGe2Pt9 | the Alexandria database | PBE-GGA | optimized geometry" mass_density_g_cm3=12.4 raw_formation_energy_mev_per_atom=-663 sg="P-3m1 (164)" volume_a3_per_atom=21.22 pbc="T T T"
Pt 0.000 1.589 2.450
Pt 3.300 4.126 5.987
Pt -1.650 2.858 0.000
Pt 3.300 0.000 0.000
Pt 5.223 0.795 5.987
Pt -1.924 4.921 2.450
Pt 1.650 2.858 0.000
Pt 1.924 4.921 2.450
Pt 1.376 0.795 5.987
Ge 0.000 3.810 1.667
Ge 3.300 1.905 6.770
Si 0.000 0.000 4.219
Sm 0.000 0.000 0.000
Sm 3.300 1.905 2.454
Sm 0.000 3.810 5.983



Record 11
5
Lattice="-3.824 -1.699 1.573 2.041 -3.907 0.742 1.301 1.611 4.902" Properties=species:S:1:pos:R:3 comment="TaSi2GePt | the Alexandria database | PBE-GGA | optimized geometry" mass_density_g_cm3=7.9 raw_formation_energy_mev_per_atom=768 sg="P4/mmm (123)" volume_a3_per_atom=21.27 pbc="T T T"
Ge -0.241 -1.998 3.609
Ta 0.650 0.805 2.451
Si -1.912 -0.850 0.786
Si 1.021 -1.954 0.371
Pt 0.000 0.000 0.000



Record 12
10
Lattice="4.263 0.000 0.000 0.000 4.263 0.000 0.000 0.000 9.767" Properties=species:S:1:pos:R:3 comment="Tb2Si4GePt3 | the Alexandria database | PBE-GGA | optimized geometry" mass_density_g_cm3=10.2 raw_formation_energy_mev_per_atom=-921 sg="P-4m2 (115)" volume_a3_per_atom=17.75 pbc="T T T"
Pt 0.000 0.000 4.883
Pt 2.131 0.000 8.586
Pt 0.000 2.131 1.181
Tb 2.131 0.000 2.401
Tb 0.000 2.131 7.366
Si 0.000 0.000 0.000
Si 2.131 0.000 6.226
Si 2.131 2.131 0.000
Si 0.000 2.131 3.541
Ge 2.131 2.131 4.883



Record 13
12
Lattice="3.937 0.004 -0.110 0.008 3.937 -0.110 1.510 1.508 14.431" Properties=species:S:1:pos:R:3 comment="TbSi2Ge2Pt7 | the Alexandria database | PBE-GGA | optimized geometry" mass_density_g_cm3=12.7 raw_formation_energy_mev_per_atom=-611 sg="C2/m (12)" volume_a3_per_atom=18.75 pbc="T T T"
Pt 3.251 3.247 8.366
Pt 3.993 2.028 2.090
Pt 3.422 1.458 12.121
Pt 1.973 1.970 -0.110
Pt 1.462 3.421 12.121
Pt 2.032 3.991 2.090
Pt 2.204 2.201 5.845
Tb 0.000 0.000 0.000
Ge 1.471 1.469 8.285
Ge 3.984 3.979 5.926
Si 3.395 3.391 10.695
Si 2.060 2.057 3.517



Record 14
10
Lattice="4.312 0.000 0.000 0.000 4.312 0.000 0.000 0.000 9.965" Properties=species:S:1:pos:R:3 comment="Tb2SiGe3Pt4 | the Alexandria database | PBE-GGA | optimized geometry" mass_density_g_cm3=12.0 raw_formation_energy_mev_per_atom=-928 sg="P-4m2 (115)" volume_a3_per_atom=18.53 pbc="T T T"
Pt 0.000 0.000 0.000
Pt 0.000 2.156 3.791
Pt 2.156 0.000 6.174
Pt 2.156 2.156 0.000
Si 2.156 2.156 4.982
Ge 0.000 0.000 4.982
Ge 2.156 0.000 8.624
Ge 0.000 2.156 1.341
Tb 0.000 2.156 7.444
Tb 2.156 0.000 2.521



Record 15
15
Lattice="-4.256 -3.247 3.544 2.595 -2.729 -5.200 6.485 -3.159 4.894" Properties=species:S:1:pos:R:3 comment="Tb3Si2GePt9 | the Alexandria database | PBE-GGA | optimized geometry" mass_density_g_cm3=12.6 raw_formation_energy_mev_per_atom=-739 sg="P-3m1 (164)" volume_a3_per_atom=20.74 pbc="T T T"
Pt 1.297 -1.365 -2.600
Pt -0.831 -2.988 -0.828
Pt 3.825 -3.597 3.797
Pt 3.426 -3.686 -2.579
Pt 1.398 -5.449 5.818
Pt -2.128 -1.624 1.772
Pt 1.946 -2.130 0.386
Pt 2.878 -7.005 2.853
Pt 0.999 -5.538 -0.558
Ge 3.243 -1.580 2.447
Tb 0.000 0.000 0.000
Tb 4.983 -5.178 1.241
Tb -0.159 -3.957 1.998
Si 3.311 -5.648 4.616
Si 1.513 -3.487 -1.378



Record 16
20
Lattice="5.549 0.000 0.000 0.000 8.230 0.000 0.000 0.000 8.560" Properties=species:S:1:pos:R:3 comment="Tb2SiGePt6 | the Alexandria database | PBE-GGA | optimized geometry" mass_density_g_cm3=13.5 raw_formation_energy_mev_per_atom=-923 sg="Pmmn (59)" volume_a3_per_atom=19.55 pbc="T T T"
Si 0.000 6.152 0.000
Si 2.775 2.079 4.280
Tb 0.000 2.192 6.411
Tb 2.775 6.038 6.429
Tb 2.775 6.038 2.131
Tb 0.000 2.192 2.149
Pt 2.775 0.973 6.418
Pt 1.393 3.992 4.280
Pt 1.385 0.017 4.280
Pt 0.000 7.257 2.138
Pt 4.167 4.238 0.000
Pt 4.159 8.213 0.000
Pt 0.000 7.257 6.423
Pt 1.382 4.238 0.000
Pt 4.157 3.992 4.280
Pt 1.390 8.213 0.000
Pt 4.164 0.017 4.280
Pt 2.775 0.973 2.142
Ge 0.000 6.019 4.280
Ge 2.775 2.212 0.000



Record 17
10
Lattice="-2.701 -2.506 -2.265 3.375 -2.116 -1.684 -0.301 -6.429 7.472" Properties=species:S:1:pos:R:3 comment="Th2Si3GePt4 | the Alexandria database | PBE-GGA | optimized geometry" mass_density_g_cm3=12.6 raw_formation_energy_mev_per_atom=-1081 sg="P-4m2 (115)" volume_a3_per_atom=18.45 pbc="T T T"
Pt 1.575 -3.468 1.959
Pt 0.000 0.000 0.000
Pt 0.337 -2.311 -1.975
Pt -1.539 -5.272 3.539
Th -1.425 -2.844 0.717
Th 1.461 -5.896 4.780
Si 1.648 -1.892 0.127
Si -0.150 -3.215 3.736
Si -1.612 -6.848 5.370
Ge 0.187 -5.525 1.762



Record 18
10
Lattice="-0.100 0.147 -4.386 4.342 -0.636 -0.121 -1.442 -9.788 -0.296" Properties=species:S:1:pos:R:3 comment="Th2SiGe3Pt4 | the Alexandria database | PBE-GGA | optimized geometry" mass_density_g_cm3=13.0 raw_formation_energy_mev_per_atom=-975 sg="P-4m2 (115)" volume_a3_per_atom=19.07 pbc="T T T"
Ge 1.977 -1.632 -0.100
Ge -1.298 -8.400 -2.449
Ge -0.721 -4.894 -0.148
Th -0.408 -2.358 -2.267
Th 1.087 -7.674 -0.283
Pt 2.121 -0.244 -2.253
Pt 0.000 0.000 0.000
Pt -0.937 -5.947 -2.375
Pt 1.616 -4.085 -0.174
Si 1.400 -5.138 -2.401



Record 19
12
Lattice="-0.138 0.761 -3.845 -2.973 -2.526 -0.407 -10.298 10.192 1.251" Properties=species:S:1:pos:R:3 comment="TmSi2Ge2Pt7 | the Alexandria database | PBE-GGA | optimized geometry" mass_density_g_cm3=13.0 raw_formation_energy_mev_per_atom=-636 sg="C2/m (12)" volume_a3_per_atom=18.53 pbc="T T T"
Pt -8.931 8.929 -1.055
Pt -5.475 3.480 -1.189
Pt -3.063 1.140 -3.662
Pt -1.555 -0.882 -2.126
Pt -7.934 4.949 -1.812
Pt -10.346 7.288 0.661
Pt -4.478 -0.501 -1.946
Ge -6.411 5.615 0.080
Ge -6.998 2.814 -3.081
Si -3.892 1.788 -1.500
Si -9.517 6.640 -1.500
Tm 0.000 0.000 0.000



Record 20
10
Lattice="-6.292 -0.632 0.981 -0.631 -0.218 6.341 -5.348 3.978 5.282" Properties=species:S:1:pos:R:3 comment="Tm2SiGePt6 | the Alexandria database | PBE-GGA | optimized geometry" mass_density_g_cm3=14.7 raw_formation_energy_mev_per_atom=-874 sg="C2/m (12)" volume_a3_per_atom=18.17 pbc="T T T"
Tm -7.560 1.465 4.965
Tm -4.711 1.663 7.639
Pt -4.907 -0.588 5.843
Pt -4.117 1.835 4.818
Pt -5.756 0.106 3.148
Pt -8.154 1.293 7.786
Pt -6.515 3.022 9.456
Pt -7.365 3.716 6.761
Si 0.000 0.000 0.000
Ge -3.462 -0.425 3.661